The following is a DFT calculation (PBE) of a relaxed Ce6Te5As crystal.

Values from the calculation:
- Electronic total energy: -145.1 eV for the cell shown
- Density of states at the Fermi level: 3.56 states/eV per atom
- Size of the total moment: 0.551 μB per atom
- E_form (uncorrected): -1.381 eV/atom

Lattice parameters (Å, degrees): 7.731 13.335 7.688 90.00 109.44 90.00
Space group C2/m (No. 12)
Asymmetric unit:
Ce 0.234 0.000 0.255 [4 per cell]
Ce 0.237 0.158 0.737 [8 per cell]
Te 0.000 0.174 0.000 [4 per cell]
Te 0.000 0.335 0.500 [4 per cell]
Te 0.000 0.500 0.000 [2 per cell]
As 0.000 0.000 0.500 [2 per cell]